Crystalline LiInSe2 at its relaxed geometry, computed with PBE-GGA.

- VASP energy (Ry per atom) = -0.246
- V (Å³/atom) = 21.847
- ΔE_f (raw) (eV/atom) = -0.439

Cell lengths 3.834, 3.822, 6.096 Å; angles 90.00, 101.93, 90.00 degrees
Space group P2/m (No. 10)
Asymmetric unit:
Li 0.000 0.000 0.000 x1
In 0.000 0.000 0.500 x1
Se 0.469 0.500 0.221 x2